(1)
# SrZnTc

A relaxed structure of SrZnTc (PBE, Alexandria).

## Properties
Energy of formation (eV/atom): 0.14
Space-group type: No. 2
Size of the total moment (μB/f.u.): 0.0
Relative energy among the computed polymorphs (kJ/mol of formula units): 31

Lattice parameters (Å, degrees): 3.915 6.101 7.061 97.91 106.00 108.32
Fractional coordinates of all 6 atoms:
Tc1 0.832 0.111 0.055
Zn1 0.463 0.089 0.339
Sr1 0.713 0.641 0.277
Tc2 0.168 0.889 0.945
Zn2 0.537 0.911 0.661
Sr2 0.287 0.359 0.723

***

(2)
# Cs12As3I5

A relaxed structure of Cs12As3I5 (PBE, Alexandria).

## Properties
E_form (uncorrected) (meV per atom): -798
Space-group type: No. 230
Size of the total moment (μB/f.u.): 2.1

Lattice parameters (Å, degrees): 19.036 19.036 19.036 109.47 109.47 109.47
Fractional coordinates of all 80 atoms:
I1 0.375 0.250 0.125
Cs1 0.168 0.079 0.936
I2 0.500 0.000 0.000
Cs2 0.921 0.089 0.857
I3 0.875 0.250 0.625
As1 0.375 0.750 0.625
I4 0.500 0.500 0.500
As2 0.250 0.625 0.875
As3 0.125 0.250 0.875
As4 0.250 0.125 0.375
As5 0.375 0.625 0.250
I5 0.625 0.750 0.875
I6 0.500 0.000 0.500
Cs3 0.857 0.589 0.921
Cs4 0.857 0.268 0.436
Cs5 0.064 0.643 0.732
I7 0.625 0.875 0.250
Cs6 0.921 0.832 0.564
I8 0.000 0.000 0.500
I9 0.250 0.375 0.625
Cs7 0.143 0.411 0.079
Cs8 0.332 0.564 0.421
As6 0.625 0.250 0.375
Cs9 0.768 0.332 0.911
I10 0.250 0.875 0.125
I11 0.875 0.625 0.750
Cs10 0.668 0.436 0.579
Cs11 0.936 0.579 0.168
Cs12 0.421 0.064 0.332
Cs13 0.589 0.857 0.421
As7 0.875 0.125 0.250
I12 0.125 0.375 0.250
Cs14 0.643 0.064 0.232
As8 0.125 0.875 0.750
Cs15 0.564 0.332 0.921
Cs16 0.936 0.357 0.268
I13 0.000 0.000 0.000
Cs17 0.911 0.079 0.643
Cs18 0.232 0.668 0.089
Cs19 0.436 0.668 0.079
Cs20 0.168 0.089 0.732
Cs21 0.589 0.732 0.668
I14 0.000 0.500 0.000
Cs22 0.089 0.921 0.357
Cs23 0.411 0.268 0.332
Cs24 0.732 0.589 0.168
Cs25 0.411 0.143 0.579
As9 0.750 0.875 0.625
Cs26 0.232 0.564 0.643
I15 0.750 0.625 0.375
Cs27 0.911 0.832 0.768
As10 0.750 0.375 0.125
Cs28 0.064 0.421 0.832
Cs29 0.564 0.232 0.143
Cs30 0.089 0.168 0.232
Cs31 0.643 0.579 0.911
Cs32 0.079 0.911 0.143
Cs33 0.268 0.857 0.936
I16 0.375 0.125 0.750
As11 0.875 0.750 0.125
Cs34 0.357 0.421 0.089
Cs35 0.357 0.936 0.768
Cs36 0.768 0.436 0.357
Cs37 0.079 0.168 0.436
I17 0.750 0.125 0.875
Cs38 0.332 0.768 0.411
I18 0.500 0.500 0.000
Cs39 0.668 0.232 0.589
As12 0.625 0.375 0.750
Cs40 0.436 0.768 0.857
I19 0.125 0.750 0.375
Cs41 0.832 0.921 0.064
Cs42 0.579 0.643 0.411
I20 0.000 0.500 0.500
Cs43 0.732 0.143 0.064
Cs44 0.421 0.357 0.589
Cs45 0.268 0.411 0.832
Cs46 0.832 0.911 0.268
Cs47 0.579 0.936 0.668
Cs48 0.143 0.732 0.564

***

(3)
# MnTlOs2

A relaxed structure of MnTlOs2 (PBE, Alexandria).

## Properties
Energy of formation (eV/atom): 0.68
Space-group type: No. 166
Size of the total moment (μB/f.u.): 0.3
Relative energy among the computed polymorphs (kJ/mol of formula units): 77

Lattice parameters (Å, degrees): 9.326 9.326 9.326 17.34 17.34 17.34
Fractional coordinates of all 4 atoms:
Os1 0.012 0.012 0.012
Mn1 0.750 0.750 0.750
Tl1 0.250 0.250 0.250
Os2 0.488 0.488 0.488

***

(4)
# Ba2YTc

A relaxed structure of Ba2YTc (PBE, Alexandria).

## Properties
Energy of formation (eV/atom): 0.52
Space-group type: No. 44
Size of the total moment (μB/f.u.): 0.3
Relative energy among the computed polymorphs (kJ/mol of formula units): 48

Lattice parameters (Å, degrees): 7.191 7.191 7.191 149.47 128.42 61.14
Fractional coordinates of all 4 atoms:
Ba1 0.005 0.005 0.000
Tc1 0.479 0.479 0.000
Ba2 0.691 0.191 0.500
Y1 0.325 0.825 0.500